A plane-wave DFT calculation with PBE was carried out for a geometry-optimized AlCr2TcN structure.

Properties
energy	-8.60	eV/atom
total magnetization	1.1	μB per formula unit
formation energy from raw total energies	-1.340	eV/f.u.

abc: 3.831 3.831 4.061
angles: 90.00 90.00 90.00
Space group P4/mmm (No. 123)
Unique sites:
Al1 0.000 0.000 0.000
Cr1 0.000 0.500 0.500
Tc1 0.500 0.500 0.000
N1 0.500 0.500 0.500